1.
Density functional theory data (PBE) for a relaxed Np2CoS4 crystal.

Geometry as POSCAR:
```
Np2CoS4
1.0
6.3398 0.0000 0.0000
0.0000 5.6900 0.0000
-2.2379 0.0000 7.2159
Np Co S
4 2 8
direct
0.2402 0.2500 0.4327 Np
0.2578 0.2500 0.9419 Np
0.7422 0.7500 0.0581 Np
0.7598 0.7500 0.5673 Np
0.2632 0.7500 0.1918 Co
0.7368 0.2500 0.8082 Co
0.0674 0.7500 0.3863 S
0.0756 0.7500 0.8995 S
0.4814 0.5114 0.7412 S
0.4814 0.9886 0.7412 S
0.5186 0.0114 0.2588 S
0.5186 0.4886 0.2588 S
0.9244 0.2500 0.1005 S
0.9326 0.2500 0.6137 S
```

Values from the calculation:
Calculated volume ... 18.59 A^3/atom
Raw formation energy ... -754.5 kJ/mol of formula units
Total DFT energy (no corrections) ... -0.60182 Ry/atom

2.
Density functional theory data (PBE) for a relaxed Ga2AgRu2 crystal.

Geometry as POSCAR:
```
Ga2AgRu2
1.0
7.0020 0.0000 0.0000
0.0000 7.0020 0.0000
0.0000 0.0000 3.0925
Ga Ag Ru
4 2 4
direct
0.1397 0.3603 0.0000 Ga
0.3603 0.8603 0.0000 Ga
0.6397 0.1397 0.0000 Ga
0.8603 0.6397 0.0000 Ga
0.0000 0.0000 0.0000 Ag
0.5000 0.5000 0.0000 Ag
0.1556 0.6556 0.5000 Ru
0.3444 0.1556 0.5000 Ru
0.6556 0.8444 0.5000 Ru
0.8444 0.3444 0.5000 Ru
```

Values from the calculation:
Calculated volume ... 15.16 A^3/atom
Offset from the most stable computed form ... 0.000 eV/atom
Total DFT energy (no corrections) ... -0.40780 Ry/atom
Energy relative to the elements ... -0.057 eV/atom

3.
Density functional theory data (PBE) for a relaxed Ca2AgN crystal.

Geometry as POSCAR:
```
Ca2AgN
1.0
1.8173 1.0492 7.4387
-1.8173 1.0492 7.4387
0.0000 -2.0985 7.4387
Ca Ag N
2 1 1
direct
0.2226 0.2226 0.2226 Ca
0.7774 0.7774 0.7774 Ca
0.0000 0.0000 0.0000 Ag
0.5000 0.5000 0.5000 N
```

Values from the calculation:
Calculated volume ... 21.28 A^3/atom
Raw formation energy ... -222.5 kJ/mol of formula units
Total DFT energy (no corrections) ... -0.32130 Ry/atom

4.
Density functional theory data (PBE) for a relaxed CeTmGeIr crystal.

Geometry as POSCAR:
```
CeTmGeIr
1.0
4.3194 0.0000 0.0000
0.0000 2.0387 5.0734
0.0000 -2.0387 5.0734
Ce Tm Ge Ir
1 1 1 1
direct
0.0000 0.0000 0.0000 Ce
0.5000 0.2829 0.2829 Tm
0.5000 0.5716 0.5716 Ge
0.0000 0.7301 0.7301 Ir
```

Values from the calculation:
Calculated volume ... 22.34 A^3/atom
Offset from the most stable computed form ... 0.000 eV/atom
Total DFT energy (no corrections) ... -0.49914 Ry/atom
Energy relative to the elements ... -0.820 eV/atom

5.
Density functional theory data (PBE) for a relaxed ZnCdTc crystal.

Geometry as POSCAR:
```
ZnCdTc
1.0
-1.3880 1.3880 6.4646
1.3880 -1.3880 6.4646
1.3880 1.3880 -6.4646
Zn Cd Tc
1 1 1
direct
0.0000 0.0000 0.0000 Zn
0.3189 0.3189 0.0000 Cd
0.6462 0.6462 0.0000 Tc
```

Values from the calculation:
Calculated volume ... 16.61 A^3/atom
Offset from the most stable computed form ... 0.284 eV/atom
Total DFT energy (no corrections) ... -0.28412 Ry/atom
Energy relative to the elements ... 0.319 eV/atom

6.
Density functional theory data (PBE) for a relaxed MnInSi2 crystal.

Geometry as POSCAR:
```
MnInSi2
1.0
2.9218 -3.9407 0.0000
2.9218 3.9407 0.0000
0.0000 0.0000 2.9765
Mn In Si
1 1 2
direct
0.0000 0.0000 0.0000 Mn
0.5000 0.5000 0.0000 In
0.0000 0.5000 0.5000 Si
0.5000 0.0000 0.5000 Si
```

Values from the calculation:
Calculated volume ... 17.14 A^3/atom
Raw formation energy ... 173.5 kJ/mol of formula units
Total DFT energy (no corrections) ... -0.38506 Ry/atom

7.
Density functional theory data (PBE) for a relaxed HoNi2Sn crystal.

Geometry as POSCAR:
```
HoNi2Sn
1.0
3.3682 0.0000 0.0000
0.0000 3.3682 0.0000
0.0000 0.0000 6.2341
Ho Ni Sn
1 2 1
direct
0.0000 0.0000 0.0000 Ho
0.5000 0.5000 0.2709 Ni
0.5000 0.5000 0.7291 Ni
0.0000 0.0000 0.5000 Sn
```

Values from the calculation:
Calculated volume ... 17.68 A^3/atom
Total DFT energy (no corrections) ... -0.39013 Ry/atom
Energy relative to the elements ... -0.272 eV/atom

8.
Density functional theory data (PBE) for a relaxed LaHo2SbN4 crystal.

Geometry as POSCAR:
```
LaHo2SbN4
1.0
1.8541 -5.9140 0.0000
1.8541 5.9140 0.0000
0.0000 0.0000 11.8379
La Ho Sb N
2 4 2 8
direct
0.1033 0.8967 0.7500 La
0.8967 0.1033 0.2500 La
0.3725 0.6275 0.5381 Ho
0.3725 0.6275 0.9619 Ho
0.6275 0.3725 0.0381 Ho
0.6275 0.3725 0.4619 Ho
0.1542 0.8458 0.2500 Sb
0.8458 0.1542 0.7500 Sb
0.0000 0.0000 0.0000 N
0.0000 0.0000 0.5000 N
0.2741 0.7259 0.1233 N
0.2741 0.7259 0.3767 N
0.4336 0.5664 0.7500 N
0.5664 0.4336 0.2500 N
0.7259 0.2741 0.6233 N
0.7259 0.2741 0.8767 N
```

Values from the calculation:
Calculated volume ... 16.23 A^3/atom
Raw formation energy ... -599.2 kJ/mol of formula units
Total DFT energy (no corrections) ... -0.53027 Ry/atom

9.
Density functional theory data (PBE) for a relaxed Ho5Ir4Pb crystal.

Geometry as POSCAR:
```
Ho5Ir4Pb
1.0
3.3329 0.0000 0.0000
0.0000 3.3329 0.0000
0.0000 0.0000 19.3135
Ho Ir Pb
5 4 1
direct
0.0000 0.0000 0.0000 Ho
0.0000 0.0000 0.1848 Ho
0.0000 0.0000 0.3687 Ho
0.0000 0.0000 0.6313 Ho
0.0000 0.0000 0.8152 Ho
0.5000 0.5000 0.0927 Ir
0.5000 0.5000 0.2803 Ir
0.5000 0.5000 0.7197 Ir
0.5000 0.5000 0.9073 Ir
0.5000 0.5000 0.5000 Pb
```

Values from the calculation:
Calculated volume ... 21.45 A^3/atom
Total DFT energy (no corrections) ... -0.51362 Ry/atom
Energy relative to the elements ... -0.784 eV/atom

10.
Density functional theory data (PBE) for a relaxed SrVBi2Au crystal.

Geometry as POSCAR:
```
SrVBi2Au
1.0
5.2633 0.0000 0.0000
0.0000 5.2633 0.0000
0.0000 0.0000 5.2431
Sr V Bi Au
1 1 2 1
direct
0.0000 0.0000 0.0000 Sr
0.5000 0.5000 0.5000 V
0.0000 0.5000 0.5000 Bi
0.5000 0.0000 0.5000 Bi
0.5000 0.5000 0.0000 Au
```

Values from the calculation:
Calculated volume ... 29.05 A^3/atom
Offset from the most stable computed form ... 0.000 eV/atom
Total DFT energy (no corrections) ... -0.32842 Ry/atom
Energy relative to the elements ... -0.100 eV/atom

11.
Density functional theory data (PBE) for a relaxed Hf2CdHg crystal.

Geometry as POSCAR:
```
Hf2CdHg
1.0
0.0000 3.4839 3.4839
3.4839 0.0000 3.4839
3.4839 3.4839 0.0000
Hf Cd Hg
2 1 1
direct
0.2500 0.2500 0.2500 Hf
0.7500 0.7500 0.7500 Hf
0.0000 0.0000 0.0000 Cd
0.5000 0.5000 0.5000 Hg
```

Values from the calculation:
Calculated volume ... 21.14 A^3/atom
Offset from the most stable computed form ... 0.125 eV/atom
Total DFT energy (no corrections) ... -0.38475 Ry/atom
Energy relative to the elements ... 0.046 eV/atom

12.
Density functional theory data (PBE) for a relaxed Nd3Ga4Au4 crystal.

Geometry as POSCAR:
```
Nd3Ga4Au4
1.0
-1.9964 2.2825 13.3390
1.9964 -2.2825 13.3390
1.9964 2.2825 -13.3390
Nd Ga Au
3 4 4
direct
0.0000 0.0000 0.0000 Nd
0.3537 0.8537 0.5000 Nd
0.6463 0.1463 0.5000 Nd
0.1911 0.6911 0.5000 Ga
0.4521 0.4521 0.0000 Ga
0.5479 0.5479 0.0000 Ga
0.8089 0.3089 0.5000 Ga
0.0946 0.5946 0.5000 Au
0.2567 0.2567 0.0000 Au
0.7433 0.7433 0.0000 Au
0.9054 0.4054 0.5000 Au
```

Values from the calculation:
Calculated volume ... 22.10 A^3/atom
Offset from the most stable computed form ... 0.009 eV/atom
Total DFT energy (no corrections) ... -0.31438 Ry/atom
Energy relative to the elements ... -0.685 eV/atom